VASP calculation (PBE) on a relaxed Ta2ReAg crystal.

Results
DFT formation energy	0.38	eV per atom

extended XYZ file:
```
4
Lattice="0.000 3.235 3.235 3.235 0.000 3.235 3.235 3.235 0.000" Properties=species:S:1:pos:R:3 pbc="T T T"
Ag 1.618 1.618 1.618
Re 3.235 3.235 3.235
Ta 0.000 0.000 0.000
Ta 4.853 4.853 4.853
```